Run w
Here is a relaxed structure of Sr2MnW from Alexandria. Energies are from PBE.

Calculated values
* space-group type: No. 10

a = 5.075 Å, b = 3.127 Å, c = 7.175 Å
α = 63.83°, β = 90.00°, γ = 90.00°
Last column: magnetic moment on the atom in μB.
Atoms (fractional coordinates):
W1 0.500 0.250 0.250  -0.38
Sr1 0.000 0.996 0.006  -0.03
Mn1 0.500 0.750 0.750  3.85
Sr2 0.000 0.504 0.494  -0.03

Run x
Here is a relaxed structure of Sr2MnW from Alexandria. Energies are from PBE.

Calculated values
* space-group type: No. 122

a = 11.674 Å, b = 11.674 Å, c = 8.538 Å
α = 46.87°, β = 46.87°, γ = 90.00°
Last column: magnetic moment on the atom in μB.
Atoms (fractional coordinates):
Mn1 0.250 0.750 0.500  0.16
W1 0.750 0.250 0.500  0.57
Sr1 0.443 0.125 0.250  0.02
Sr2 0.875 0.693 0.750  0.02
Sr3 0.375 0.557 0.750  0.01
W2 0.000 0.000 0.000  0.57
Sr4 0.307 0.625 0.250  0.02
Mn2 0.500 0.500 0.000  0.16

Run y
Here is a relaxed structure of Sr2MnW from Alexandria. Energies are from PBE.

Calculated values
* space-group type: No. 139

a = 5.850 Å, b = 5.850 Å, c = 5.850 Å
α = 131.86°, β = 131.86°, γ = 70.44°
Last column: magnetic moment on the atom in μB.
Atoms (fractional coordinates):
Sr1 0.500 0.500 0.000  -0.02
Sr2 0.000 0.000 0.000  -0.02
W1 0.250 0.750 0.500  -1.73
Mn1 0.750 0.250 0.500  4.05

So which one is most stable? That would be run x, about 51 meV per atom below the next structure.

Run w
Here is a relaxed structure of Sr2MnW from Alexandria. Energies are from PBE.

Calculated values
* space-group type: No. 123

a = 5.009 Å, b = 4.558 Å, c = 4.558 Å
α = 90.00°, β = 90.00°, γ = 90.00°
Last column: magnetic moment on the atom in μB.
Atoms (fractional coordinates):
Mn1 0.500 0.000 0.500  3.88
Sr1 0.000 0.000 0.000  -0.01
W1 0.500 0.500 0.000  -1.39
Sr2 0.000 0.500 0.500  -0.01

Run x
Here is a relaxed structure of Sr2MnW from Alexandria. Energies are from PBE.

Calculated values
* space-group type: No. 119

a = 5.262 Å, b = 5.262 Å, c = 5.262 Å
α = 119.89°, β = 119.89°, γ = 90.19°
Last column: magnetic moment on the atom in μB.
Atoms (fractional coordinates):
Mn1 0.750 0.250 0.500  3.77
Sr1 0.250 0.750 0.500  -0.14
W1 0.500 0.500 0.000  -2.12
Sr2 0.000 0.000 0.000  -0.03

Run y
Here is a relaxed structure of Sr2MnW from Alexandria. Energies are from PBE.

Calculated values
* space-group type: No. 71

a = 9.583 Å, b = 9.583 Å, c = 9.583 Å
α = 158.80°, β = 158.52°, γ = 30.36°
Last column: magnetic moment on the atom in μB.
Atoms (fractional coordinates):
Sr1 0.599 0.599 0.000  0.02
Sr2 0.901 0.901 0.000  0.02
Mn1 0.750 0.250 0.500  2.13
W1 0.250 0.750 0.500  -0.53

Run z
Here is a relaxed structure of Sr2MnW from Alexandria. Energies are from PBE.

Calculated values
* space-group type: No. 123

a = 3.109 Å, b = 3.109 Å, c = 10.514 Å
α = 90.00°, β = 90.00°, γ = 90.00°
Last column: magnetic moment on the atom in μB.
Atoms (fractional coordinates):
Sr1 0.000 0.000 0.010  -0.05
W1 0.500 0.500 0.250  0.01
Sr2 0.000 0.000 0.490  -0.05
Mn1 0.500 0.500 0.750  3.88

So which one is most stable? That would be run y, about 449 meV per atom below the next structure.

Run w
Here is a relaxed structure of Sr2MnW from Alexandria. Energies are from PBE.

Calculated values
* space-group type: No. 65

a = 5.971 Å, b = 7.260 Å, c = 3.130 Å
α = 64.48°, β = 89.99°, γ = 119.67°
Last column: magnetic moment on the atom in μB.
Atoms (fractional coordinates):
W1 0.500 0.500 0.000  -0.39
Sr1 0.000 0.500 0.500  -0.04
Sr2 0.000 0.000 0.000  -0.04
Mn1 0.500 0.000 0.500  3.83

Run x
Here is a relaxed structure of Sr2MnW from Alexandria. Energies are from PBE.

Calculated values
* space-group type: No. 44

a = 6.417 Å, b = 6.417 Å, c = 6.417 Å
α = 147.30°, β = 128.72°, γ = 62.16°
Last column: magnetic moment on the atom in μB.
Atoms (fractional coordinates):
Sr1 0.266 0.766 0.500  0.02
Sr2 0.974 0.974 0.000  -0.02
W1 0.564 0.564 0.000  -0.75
Mn1 0.695 0.195 0.500  1.97

So which one is most stable? That would be run x, about 486 meV per atom below the next structure.

Run w
Here is a relaxed structure of SrYMn2 from Alexandria. Energies are from PBE.

Calculated values
* space-group type: No. 122

a = 5.172 Å, b = 5.172 Å, c = 10.264 Å
α = 75.41°, β = 75.41°, γ = 90.00°
Last column: magnetic moment on the atom in μB.
Atoms (fractional coordinates):
Mn1 0.875 0.128 0.750  3.44
Sr1 0.250 0.750 0.500  -0.06
Mn2 0.375 0.122 0.750  3.35
Y1 0.750 0.250 0.500  -0.43
Mn3 0.878 0.125 0.250  3.35
Sr2 0.500 0.500 0.000  -0.06
Y2 0.000 0.000 0.000  -0.43
Mn4 0.872 0.625 0.250  3.36

Run x
Here is a relaxed structure of SrYMn2 from Alexandria. Energies are from PBE.

Calculated values
* space-group type: No. 38

a = 4.433 Å, b = 4.035 Å, c = 6.323 Å
α = 71.42°, β = 90.00°, γ = 90.00°
Last column: magnetic moment on the atom in μB.
Atoms (fractional coordinates):
Sr1 0.000 0.473 0.429  -0.05
Mn1 0.000 0.193 0.990  3.33
Mn2 0.500 0.075 0.224  3.40
Y1 0.500 0.759 0.857  -0.36

Run y
Here is a relaxed structure of SrYMn2 from Alexandria. Energies are from PBE.

Calculated values
* space-group type: No. 123

a = 5.274 Å, b = 5.274 Å, c = 3.650 Å
α = 90.00°, β = 90.00°, γ = 90.00°
Last column: magnetic moment on the atom in μB.
Atoms (fractional coordinates):
Sr1 0.500 0.000 0.500  -0.06
Mn1 0.500 0.500 0.000  3.73
Mn2 0.000 0.000 0.000  3.73
Y1 0.000 0.500 0.500  -0.28

Run z
Here is a relaxed structure of SrYMn2 from Alexandria. Energies are from PBE.

Calculated values
* space-group type: No. 166

a = 10.070 Å, b = 10.070 Å, c = 10.070 Å
α = 20.24°, β = 20.24°, γ = 20.24°
Last column: magnetic moment on the atom in μB.
Atoms (fractional coordinates):
Mn1 0.006 0.006 0.006  3.79
Y1 0.750 0.750 0.750  -0.29
Sr1 0.250 0.250 0.250  -0.08
Mn2 0.494 0.494 0.494  3.79

So which one is most stable? That would be run x, about 54 meV per atom below the next structure.

Run w
Here is a relaxed structure of SrYMn2 from Alexandria. Energies are from PBE.

Calculated values
* space-group type: No. 119

a = 5.842 Å, b = 5.842 Å, c = 5.842 Å
α = 134.27°, β = 134.27°, γ = 66.67°
Last column: magnetic moment on the atom in μB.
Atoms (fractional coordinates):
Mn1 0.250 0.750 0.500  3.71
Mn2 0.000 0.000 0.000  3.69
Y1 0.750 0.250 0.500  -0.44
Sr1 0.500 0.500 0.000  -0.10

Run x
Here is a relaxed structure of SrYMn2 from Alexandria. Energies are from PBE.

Calculated values
* space-group type: No. 44

a = 6.329 Å, b = 6.329 Å, c = 6.329 Å
α = 147.56°, β = 130.78°, γ = 60.19°
Last column: magnetic moment on the atom in μB.
Atoms (fractional coordinates):
Mn1 0.215 0.715 0.500  3.68
Mn2 0.028 0.028 0.000  3.70
Y1 0.776 0.276 0.500  -0.28
Sr1 0.480 0.480 0.000  -0.06

So which one is most stable? That would be run x, about 111 meV per atom below the next structure.

Run w
Here is a relaxed structure of SrYMn2 from Alexandria. Energies are from PBE.

Calculated values
* space-group type: No. 216

a = 5.190 Å, b = 5.190 Å, c = 5.190 Å
α = 60.00°, β = 60.00°, γ = 60.00°
Last column: magnetic moment on the atom in μB.
Atoms (fractional coordinates):
Sr1 0.500 0.500 0.500  -0.02
Mn1 0.000 0.000 0.000  3.84
Mn2 0.250 0.250 0.250  3.93
Y1 0.750 0.750 0.750  -0.14

Run x
Here is a relaxed structure of SrYMn2 from Alexandria. Energies are from PBE.

Calculated values
* space-group type: No. 12

a = 5.219 Å, b = 5.219 Å, c = 6.799 Å
α = 77.12°, β = 77.12°, γ = 39.10°
Last column: magnetic moment on the atom in μB.
Atoms (fractional coordinates):
Mn1 0.502 0.502 0.406  3.55
Mn2 0.998 0.998 0.094  3.55
Sr1 0.750 0.750 0.750  -0.05
Y1 0.250 0.250 0.250  -0.39

Run y
Here is a relaxed structure of SrYMn2 from Alexandria. Energies are from PBE.

Calculated values
* space-group type: No. 99

a = 3.554 Å, b = 3.554 Å, c = 8.435 Å
α = 90.00°, β = 90.00°, γ = 90.00°
Last column: magnetic moment on the atom in μB.
Atoms (fractional coordinates):
Sr1 0.000 0.000 0.451  0.01
Mn1 0.000 0.000 0.039  3.52
Y1 0.500 0.500 0.831  -0.14
Mn2 0.500 0.500 0.179  3.72

Run z
Here is a relaxed structure of SrYMn2 from Alexandria. Energies are from PBE.

Calculated values
* space-group type: No. 123

a = 3.789 Å, b = 3.789 Å, c = 7.425 Å
α = 90.00°, β = 90.00°, γ = 90.00°
Last column: magnetic moment on the atom in μB.
Atoms (fractional coordinates):
Sr1 0.500 0.500 0.250  -0.05
Mn1 0.000 0.000 0.938  3.65
Mn2 0.000 0.000 0.562  3.65
Y1 0.500 0.500 0.750  -0.34

So which one is most stable? That would be run z, about 25 meV per atom below the next structure.

Run w
Here is a relaxed structure of SrY2Mn from Alexandria. Energies are from PBE.

Calculated values
* space-group type: No. 123

a = 3.608 Å, b = 3.608 Å, c = 9.683 Å
α = 90.00°, β = 90.00°, γ = 90.00°
Last column: magnetic moment on the atom in μB.
Atoms (fractional coordinates):
Mn1 0.500 0.500 0.250  3.31
Y1 0.000 0.000 0.076  -0.18
Y2 0.000 0.000 0.424  -0.18
Sr1 0.500 0.500 0.750  0.06

Run x
Here is a relaxed structure of SrY2Mn from Alexandria. Energies are from PBE.

Calculated values
* space-group type: No. 139

a = 6.059 Å, b = 6.059 Å, c = 6.059 Å
α = 131.44°, β = 131.44°, γ = 71.12°
Last column: magnetic moment on the atom in μB.
Atoms (fractional coordinates):
Sr1 0.750 0.250 0.500  -0.10
Y1 0.500 0.500 0.000  -0.37
Mn1 0.250 0.750 0.500  3.88
Y2 0.000 0.000 0.000  -0.37

So which one is most stable? That would be run w, about 283 meV per atom below the next structure.

Run w
Here is a relaxed structure of SrY2Mn from Alexandria. Energies are from PBE.

Calculated values
* space-group type: No. 216

a = 5.584 Å, b = 5.584 Å, c = 5.584 Å
α = 60.00°, β = 60.00°, γ = 60.00°
Last column: magnetic moment on the atom in μB.
Atoms (fractional coordinates):
Y1 0.000 0.000 0.000  -0.24
Y2 0.250 0.250 0.250  -0.22
Mn1 0.500 0.500 0.500  3.97
Sr1 0.750 0.750 0.750  -0.03

Run x
Here is a relaxed structure of SrY2Mn from Alexandria. Energies are from PBE.

Calculated values
* space-group type: No. 119

a = 6.147 Å, b = 6.147 Å, c = 6.147 Å
α = 132.67°, β = 132.67°, γ = 69.17°
Last column: magnetic moment on the atom in μB.
Atoms (fractional coordinates):
Mn1 0.500 0.500 0.000  3.91
Y1 0.000 0.000 0.000  -0.33
Sr1 0.750 0.250 0.500  -0.07
Y2 0.250 0.750 0.500  -0.34

Run y
Here is a relaxed structure of SrY2Mn from Alexandria. Energies are from PBE.

Calculated values
* space-group type: No. 141

a = 7.668 Å, b = 7.668 Å, c = 7.673 Å
α = 60.02°, β = 60.02°, γ = 90.00°
Atoms (fractional coordinates):
Y1 0.375 0.626 0.750
Mn1 0.250 0.750 0.500
Mn2 0.500 0.500 0.000
Y2 0.374 0.125 0.250
Y3 0.376 0.625 0.250
Y4 0.875 0.624 0.750
Sr1 0.000 0.000 0.000
Sr2 0.750 0.250 0.500

So which one is most stable? That would be run x, about 25 meV per atom below the next structure.

Run w
Here is a relaxed structure of SrY2Mn from Alexandria. Energies are from PBE.

Calculated values
* space-group type: No. 99

a = 3.708 Å, b = 3.714 Å, c = 9.887 Å
α = 67.97°, β = 90.00°, γ = 90.00°
Last column: magnetic moment on the atom in μB.
Atoms (fractional coordinates):
Y1 0.000 0.964 0.036  0.32
Sr1 0.500 0.799 0.702  -0.04
Mn1 0.000 0.534 0.466  3.71
Y2 0.500 0.203 0.296  -0.05

Run x
Here is a relaxed structure of SrY2Mn from Alexandria. Energies are from PBE.

Calculated values
* space-group type: No. 12

a = 6.110 Å, b = 6.803 Å, c = 3.504 Å
α = 77.17°, β = 85.46°, γ = 115.38°
Last column: magnetic moment on the atom in μB.
Atoms (fractional coordinates):
Y1 0.000 0.000 0.000  -0.18
Mn1 0.000 0.500 0.500  4.02
Y2 0.500 0.000 0.500  -0.18
Sr1 0.500 0.500 0.000  -0.05

So which one is most stable? That would be run w, about 249 meV per atom below the next structure.

Run w
Here is a relaxed structure of SrY3Mn from Alexandria. Energies are from PBE.

Calculated values
* space-group type: No. 221

a = 5.639 Å, b = 5.639 Å, c = 5.639 Å
α = 90.00°, β = 90.00°, γ = 90.00°
Last column: magnetic moment on the atom in μB.
Atoms (fractional coordinates):
Mn1 0.500 0.500 0.500  4.36
Y1 0.500 0.000 0.000  -0.02
Y2 0.000 0.000 0.500  0.10
Y3 0.000 0.500 0.000  0.04
Sr1 0.000 0.000 0.000  0.11

Run x
Here is a relaxed structure of SrY3Mn from Alexandria. Energies are from PBE.

Calculated values
* space-group type: No. 221

a = 5.443 Å, b = 5.443 Å, c = 5.443 Å
α = 90.00°, β = 90.00°, γ = 90.00°
Last column: magnetic moment on the atom in μB.
Atoms (fractional coordinates):
Sr1 0.500 0.500 0.500  -0.02
Y1 0.000 0.500 0.000  -0.12
Y2 0.000 0.000 0.500  -0.17
Y3 0.500 0.000 0.000  -0.08
Mn1 0.000 0.000 0.000  1.59

So which one is most stable? That would be run x, about 1249 meV per atom below the next structure.

Run w
Here is a relaxed structure of SrMnZn3 from Alexandria. Energies are from PBE.

Calculated values
* space-group type: No. 221

a = 5.858 Å, b = 5.858 Å, c = 5.858 Å
α = 90.00°, β = 90.00°, γ = 90.00°
Last column: magnetic moment on the atom in μB.
Atoms (fractional coordinates):
Sr1 0.000 0.000 0.000  -0.06
Zn1 0.000 0.500 0.000  -0.03
Zn2 0.500 0.000 0.000  -0.03
Mn1 0.500 0.500 0.500  4.48
Zn3 0.000 0.000 0.500  -0.02

Run x
Here is a relaxed structure of SrMnZn3 from Alexandria. Energies are from PBE.

Calculated values
* space-group type: No. 221

a = 4.823 Å, b = 4.823 Å, c = 4.823 Å
α = 90.00°, β = 90.00°, γ = 90.00°
Last column: magnetic moment on the atom in μB.
Atoms (fractional coordinates):
Mn1 0.000 0.000 0.000  2.87
Zn1 0.500 0.000 0.000  -0.05
Zn2 0.000 0.000 0.500  -0.01
Zn3 0.000 0.500 0.000  -0.01
Sr1 0.500 0.500 0.500  -0.07

So which one is most stable? That would be run x, about 1109 meV per atom below the next structure.